Entry from Alexandria: In2TcOs after structural relaxation (PBE-GGA).

Cell: 5.987 5.987 5.987 Å, 102.11 102.11 125.49°
Atoms (fractional coordinates):
In: 0.116 0.625 0.991
In: 0.375 0.366 0.491
In: 0.634 0.125 0.009
In: 0.875 0.884 0.509
Tc: 0.250 0.750 0.500
Tc: 0.500 0.500 0.000
Os: 0.000 0.000 0.000
Os: 0.750 0.250 0.500

## Properties
offset from the most stable computed form = 3.54 eV/f.u.
energy = -5.76 eV per atom
energy of formation from the pure elements = 4.043 eV/f.u.
theoretical density = 11.07 g cm⁻³
total moment = 1.319 μB per formula unit